Record 1
Entry from Alexandria: BeTeAs2Br after structural relaxation (GGA-PBEsol).

a = 5.297 Å, b = 5.297 Å, c = 5.412 Å
α = 90.00°, β = 90.00°, γ = 90.00°
Fractional coordinates of all 5 atoms:
Be (0.000, 0.000, 0.000)
Te (0.500, 0.500, 0.500)
As (0.000, 0.500, 0.500)
As (0.500, 0.000, 0.500)
Br (0.500, 0.500, 0.000)

## Properties
The formation energy from raw total energies comes out at 1.28 eV/atom.

=====

Record 2
Entry from Alexandria: LaRe2Ni after structural relaxation (GGA-PBEsol).

a = 4.821 Å, b = 6.839 Å, c = 4.552 Å
α = 90.00°, β = 90.00°, γ = 90.00°
Fractional coordinates of all 8 atoms:
La (0.000, 0.000, 0.000)
La (0.500, 0.500, 0.000)
Re (0.000, 0.324, 0.500)
Re (0.000, 0.676, 0.500)
Re (0.500, 0.176, 0.500)
Re (0.500, 0.824, 0.500)
Ni (0.000, 0.500, 0.000)
Ni (0.500, 0.000, 0.000)

## Properties
As for the formation energy: 1.304 eV/f.u.

=====

Record 3
Entry from Alexandria: TaMn2Mo after structural relaxation (GGA-PBEsol).

a = 3.028 Å, b = 3.028 Å, c = 5.951 Å
α = 90.00°, β = 90.00°, γ = 90.00°
Fractional coordinates of all 4 atoms:
Ta (0.000, 0.000, 0.000)
Mn (0.000, 0.000, 0.479)
Mn (0.500, 0.500, 0.236)
Mo (0.500, 0.500, 0.707)

## Properties
As for the formation energy: 0.338 eV/f.u.

=====

no.,total energy (eV per atom),calculated volume (Å³ per cell)
1,-2.646,152
2,-9.216,150
3,-10.876,55